No. 1
The following is a PBE calculation of a relaxed Er5ScAg4 crystal, from Alexandria via LeMat-Bulk.

abc: 3.567 3.567 19.089
angles: 90.00 90.00 90.00
Fractional coordinates of all 10 atoms:
Er  0.000  0.000  0.000
Er  0.000  0.000  0.192
Er  0.000  0.000  0.384
Er  0.000  0.000  0.616
Er  0.000  0.000  0.808
Sc  0.500  0.500  0.500
Ag  0.500  0.500  0.095
Ag  0.500  0.500  0.288
Ag  0.500  0.500  0.712
Ag  0.500  0.500  0.905

## Properties
Total magnetization: 0.0 μB per cell
Space-group type: P4/mmm, No. 123
E_form: -0.251 eV per atom
DOS(E_F): 0.716 states/eV/atom

No. 2
The following is a PBE calculation of a relaxed SrAcRhO4 crystal, from Alexandria via LeMat-Bulk.

abc: 6.997 6.997 6.997
angles: 146.50 146.50 48.11
Fractional coordinates of all 7 atoms:
Sr  0.000  0.000  0.000
Ac  0.280  0.280  0.000
Rh  0.632  0.632  0.000
O  0.150  0.650  0.500
O  0.470  0.470  0.000
O  0.650  0.150  0.500
O  0.806  0.806  0.000

## Properties
Total magnetization: 0.0 μB per cell
Space-group type: I4mm, No. 107
Formation energy (no corrections): -15.7 eV/f.u.
DOS(E_F): 0.120 states/eV/atom